No. 1
Density functional theory data (PBE-GGA) for SiTcPRu after structural relaxation.

a = 4.1675 Å, b = 4.1675 Å, c = 4.1675 Å
α = 60.00°, β = 60.00°, γ = 60.00°
Last column: nearest neighbours and their distance in Å.
Sites, in units of the cell vectors:
1 Ru 0.0000 0.0000 0.0000  4 P 2.55, 4 Si 2.55
2 Si 0.7500 0.7500 0.7500  4 Ru 2.55, 4 Tc 2.55
3 Tc 0.5000 0.5000 0.5000  4 Si 2.55, 4 P 2.55
4 P 0.2500 0.2500 0.2500  4 Tc 2.55, 4 Ru 2.55

Output
Energy relative to the elements, uncorrected   -0.445 eV per atom
DOS(E_F)   1.94 states/eV per cell

---

No. 2
Density functional theory data (PBE-GGA) for SiTc2PRu after structural relaxation.

a = 4.2945 Å, b = 4.3647 Å, c = 4.2945 Å
α = 90.00°, β = 90.00°, γ = 90.00°
Last column: nearest neighbours and their distance in Å.
Sites, in units of the cell vectors:
1 Ru 0.5000 0.5000 0.5000  4 Si 3.04, 8 Tc 3.06
2 Si 0.0000 0.5000 0.0000  2 P 2.18
3 Tc 0.0000 0.0000 0.5000  2 P 2.15
4 Tc 0.5000 0.0000 0.0000  2 P 2.15
5 P 0.0000 0.0000 0.0000  4 Tc 2.15, 2 Si 2.18

Output
Energy relative to the elements, uncorrected   0.963 eV per atom
DOS(E_F)   4.50 states/eV per cell

---

No. 3
Density functional theory data (PBE-GGA) for SiTeP2Ru after structural relaxation.

a = 5.0599 Å, b = 4.8604 Å, c = 5.0599 Å
α = 90.00°, β = 90.00°, γ = 90.00°
Last column: nearest neighbours and their distance in Å.
Sites, in units of the cell vectors:
1 Ru 0.0000 0.5000 0.0000  2 Te 2.43
2 Si 0.5000 0.5000 0.5000  8 P 3.51, 4 Ru 3.58
3 Te 0.0000 0.0000 0.0000  2 Ru 2.43, 4 P 2.53
4 P 0.0000 0.0000 0.5000  2 Te 2.53
5 P 0.5000 0.0000 0.0000  2 Te 2.53

Output
Energy relative to the elements, uncorrected   1.684 eV per atom
DOS(E_F)   3.68 states/eV per cell

---

No. 4
Density functional theory data (PBE-GGA) for VSiP2Ru after structural relaxation.

a = 4.4074 Å, b = 4.5598 Å, c = 4.4074 Å
α = 90.00°, β = 90.00°, γ = 90.00°
Last column: nearest neighbours and their distance in Å.
Sites, in units of the cell vectors:
1 Ru 0.5000 0.5000 0.5000  4 Si 3.12, 8 P 3.17
2 Si 0.0000 0.5000 0.0000  2 V 2.28
3 P 0.0000 0.0000 0.5000  2 V 2.20
4 P 0.5000 0.0000 0.0000  2 V 2.20
5 V 0.0000 0.0000 0.0000  4 P 2.20, 2 Si 2.28

Output
Energy relative to the elements, uncorrected   0.839 eV per atom
DOS(E_F)   5.60 states/eV per cell

---

No. 5
Density functional theory data (PBE-GGA) for SiPRu2W after structural relaxation.

a = 4.2691 Å, b = 4.5085 Å, c = 4.2691 Å
α = 90.00°, β = 90.00°, γ = 90.00°
Last column: nearest neighbours and their distance in Å.
Sites, in units of the cell vectors:
1 Ru 0.0000 0.0000 0.5000  2 P 2.13
2 Ru 0.5000 0.0000 0.0000  2 P 2.13
3 Si 0.5000 0.5000 0.5000  4 W 3.02, 8 Ru 3.10
4 W 0.0000 0.5000 0.0000  2 P 2.25
5 P 0.0000 0.0000 0.0000  4 Ru 2.13, 2 W 2.25

Output
Energy relative to the elements, uncorrected   0.664 eV per atom
DOS(E_F)   4.23 states/eV per cell

---

No. 6
Density functional theory data (PBE-GGA) for Sm2P7Ru12 after structural relaxation.

a = 3.9630 Å, b = 9.4502 Å, c = 9.4502 Å
α = 120.00°, β = 90.00°, γ = 90.00°
Last column: nearest neighbours and their distance in Å.
Sites, in units of the cell vectors:
1 Sm 0.5000 0.0000 0.0000  6 P 2.96, 9 Ru 3.13-3.24
2 Sm 0.0000 0.6667 0.3333  6 P 3.07, 12 Ru 3.15-3.42
3 P 0.0000 0.3333 0.6667  3 Ru 2.23
4 P 0.0000 0.0229 0.7790  5 Ru 2.30-2.43
5 P 0.0000 0.7561 0.9771  5 Ru 2.30-2.43
6 P 0.0000 0.2210 0.2439  5 Ru 2.30-2.43
7 P 0.5000 0.6173 0.5533  7 Ru 2.34-2.51
8 P 0.5000 0.9360 0.3827  7 Ru 2.34-2.51
9 P 0.5000 0.4467 0.0640  7 Ru 2.34-2.51
10 Ru 0.5000 0.8920 0.6165  4 P 2.35-2.44
11 Ru 0.5000 0.7244 0.1080  4 P 2.35-2.44
12 Ru 0.5000 0.3835 0.2756  4 P 2.35-2.44
13 Ru 0.5000 0.2464 0.7876  3 P 2.34-2.62
14 Ru 0.5000 0.5412 0.7536  3 P 2.34-2.62
15 Ru 0.5000 0.2124 0.4588  3 P 2.34-2.62
16 Ru 0.0000 0.0625 0.5578  4 P 2.23-2.47
17 Ru 0.0000 0.4953 0.9375  4 P 2.23-2.47
18 Ru 0.0000 0.4422 0.5047  4 P 2.23-2.47
19 Ru 0.0000 0.7571 0.7321  4 P 2.32-2.51
20 Ru 0.0000 0.9750 0.2429  4 P 2.32-2.51
21 Ru 0.0000 0.2679 0.0250  4 P 2.32-2.51

Output
Formation energy from the elements   -749 meV/atom
DOS(E_F)   11.88 states/eV per cell

---

No. 7
Density functional theory data (PBE-GGA) for SmP4Ru6 after structural relaxation.

a = 3.7654 Å, b = 6.9530 Å, c = 6.9530 Å
α = 120.00°, β = 90.00°, γ = 90.00°
Last column: nearest neighbours and their distance in Å.
Sites, in units of the cell vectors:
1 Sm 0.0000 0.0000 0.0000  6 P 2.97, 6 Ru 3.06
2 P 0.5000 0.8088 0.6176  6 Ru 2.36-2.51
3 P 0.5000 0.3824 0.1912  6 Ru 2.36-2.51
4 P 0.5000 0.8088 0.1912  6 Ru 2.36-2.51
5 P 0.0000 0.3333 0.6667  9 Ru 2.43-2.47
6 Ru 0.0000 0.5348 0.0695  5 P 2.43-2.51
7 Ru 0.5000 0.6001 0.8001  4 P 2.36-2.47
8 Ru 0.0000 0.5348 0.4652  5 P 2.43-2.51
9 Ru 0.0000 0.9305 0.4652  5 P 2.43-2.51
10 Ru 0.5000 0.1999 0.8001  4 P 2.36-2.47
11 Ru 0.5000 0.1999 0.3999  4 P 2.36-2.47

Output
Formation energy from the elements   -740 meV/atom
DOS(E_F)   5.78 states/eV per cell

---

No. 8
Density functional theory data (PBE-GGA) for Sm2P4Ru5 after structural relaxation.

a = 5.6366 Å, b = 5.6897 Å, c = 7.1905 Å
α = 78.81°, β = 66.92°, γ = 60.31°
Last column: nearest neighbours and their distance in Å.
Sites, in units of the cell vectors:
1 Sm 0.8686 0.0000 0.2629  8 P 3.21-3.49, 10 Ru 3.25-3.33, 1 Sm 3.48
2 Sm 0.1314 0.0000 0.7371  8 P 3.21-3.49, 10 Ru 3.25-3.33, 1 Sm 3.48
3 P 0.4771 0.3094 0.7364  5 Ru 2.31-2.43
4 P 0.5229 0.6906 0.2636  5 Ru 2.31-2.43
5 P 0.2135 0.3094 0.2636  5 Ru 2.31-2.43
6 P 0.7865 0.6906 0.7364  5 Ru 2.31-2.43
7 Ru 0.5000 0.0000 0.0000  4 P 2.32
8 Ru 0.0000 0.5000 0.0000  4 P 2.43
9 Ru 0.5000 0.5000 0.0000  4 P 2.43
10 Ru 0.2500 0.5000 0.5000  4 P 2.31
11 Ru 0.7500 0.5000 0.5000  4 P 2.31

Output
Formation energy from the elements   -792 meV/atom
DOS(E_F)   7.35 states/eV per cell

---

No. 9
Density functional theory data (PBE-GGA) for SmP3Ru4 after structural relaxation.

a = 4.0285 Å, b = 4.0285 Å, c = 7.6640 Å
α = 90.00°, β = 90.00°, γ = 90.00°
Last column: nearest neighbours and their distance in Å.
Sites, in units of the cell vectors:
1 P 0.0000 0.0000 0.0000  8 Ru 2.45
2 P 0.5000 0.5000 0.3305  4 Ru 2.31
3 P 0.5000 0.5000 0.6695  4 Ru 2.31
4 Sm 0.0000 0.0000 0.5000  8 P 3.13, 8 Ru 3.16
5 Ru 0.5000 0.0000 0.1829  4 P 2.31-2.45
6 Ru 0.0000 0.5000 0.1829  4 P 2.31-2.45
7 Ru 0.5000 0.0000 0.8171  4 P 2.31-2.45
8 Ru 0.0000 0.5000 0.8171  4 P 2.31-2.45

Output
Formation energy from the elements   -787 meV/atom
DOS(E_F)   4.08 states/eV per cell

---

No. 10
Density functional theory data (PBE-GGA) for SmP2Ru after structural relaxation.

a = 3.9664 Å, b = 3.9665 Å, c = 5.5845 Å
α = 110.83°, β = 110.83°, γ = 89.90°
Last column: nearest neighbours and their distance in Å.
Sites, in units of the cell vectors:
1 Sm 0.2216 0.8809 0.2282  8 P 3.06, 4 Ru 3.12-3.13
2 P 0.8479 0.5079 0.4817  2 Ru 2.31, 1 P 2.45
3 P 0.5947 0.2545 0.9746  2 Ru 2.31, 1 P 2.45
4 Ru 0.4710 0.6314 0.7282  4 P 2.31

Output
Formation energy from the elements   -849 meV/atom
DOS(E_F)   3.71 states/eV per cell

---

No. 11
Density functional theory data (PBE-GGA) for SmP2Ru3 after structural relaxation.

a = 3.9402 Å, b = 8.1288 Å, c = 9.6332 Å
α = 107.57°, β = 90.00°, γ = 104.03°
Last column: nearest neighbours and their distance in Å.
Sites, in units of the cell vectors:
1 Sm 0.1577 0.3154 0.6977  6 P 3.00-3.07, 9 Ru 3.07-3.36
2 Sm 0.8423 0.6846 0.3023  6 P 3.00-3.07, 9 Ru 3.07-3.36
3 Sm 0.0000 0.0000 0.0000  6 P 2.98-3.09, 6 Ru 3.02-3.06
4 P 0.1975 0.3950 0.1328  6 Ru 2.39-2.52
5 P 0.8025 0.6050 0.8672  6 Ru 2.39-2.52
6 P 0.4625 0.9250 0.2209  5 Ru 2.39-2.60
7 P 0.5375 0.0750 0.7791  5 Ru 2.39-2.60
8 P 0.3602 0.7204 0.5495  7 Ru 2.29-2.54
9 P 0.6398 0.2796 0.4505  7 Ru 2.29-2.54
10 Ru 0.0420 0.0840 0.3319  4 P 2.40-2.54, 1 Ru 2.64
11 Ru 0.9580 0.9160 0.6681  4 P 2.40-2.54, 1 Ru 2.64
12 Ru 0.2172 0.4344 0.3922  4 P 2.29-2.47
13 Ru 0.7828 0.5656 0.6078  4 P 2.29-2.47
14 Ru 0.6238 0.2475 0.2029  3 P 2.32-2.49
15 Ru 0.3762 0.7525 0.7971  3 P 2.32-2.49
16 Ru 0.5000 0.0000 0.5000  4 P 2.40-2.57
17 Ru 0.3203 0.6406 0.0367  4 P 2.39-2.52
18 Ru 0.6797 0.3594 0.9633  4 P 2.39-2.52

Output
Formation energy from the elements   -778 meV/atom
DOS(E_F)   13.81 states/eV per cell

---

No. 12
Density functional theory data (PBE-GGA) for SmVP2Ru after structural relaxation.

a = 4.0681 Å, b = 4.0681 Å, c = 5.7443 Å
α = 110.74°, β = 110.74°, γ = 90.00°
Last column: nearest neighbours and their distance in Å.
Sites, in units of the cell vectors:
1 Sm 0.0000 0.0000 0.0000  8 P 3.14, 4 Ru 3.21, 4 V 3.21
2 V 0.7500 0.2500 0.5000  4 P 2.38
3 P 0.6260 0.6260 0.2521  2 Ru 2.38, 2 V 2.38, 1 P 2.51
4 P 0.3740 0.3740 0.7479  2 V 2.38, 2 Ru 2.38, 1 P 2.51
5 Ru 0.2500 0.7500 0.5000  4 P 2.38

Output
Formation energy from the elements   -944 meV/atom
DOS(E_F)   2.23 states/eV per cell

---

No. 13
Density functional theory data (PBE-GGA) for SmZn2PRu2 after structural relaxation.

a = 4.3815 Å, b = 4.3815 Å, c = 5.6701 Å
α = 90.00°, β = 90.00°, γ = 90.00°
Last column: nearest neighbours and their distance in Å.
Sites, in units of the cell vectors:
1 Sm 0.0000 0.0000 0.5000  2 P 2.84
2 Zn 0.5000 0.5000 0.7211  1 Zn 2.51, 4 Ru 2.70
3 Zn 0.5000 0.5000 0.2789  1 Zn 2.51, 4 Ru 2.70
4 P 0.0000 0.0000 0.0000  4 Ru 2.19
5 Ru 0.5000 0.0000 0.0000  2 P 2.19
6 Ru 0.0000 0.5000 0.0000  2 P 2.19

Output
Formation energy from the elements   -409 meV/atom
DOS(E_F)   2.34 states/eV per cell